1.
This record from Alexandria via LeMat-Bulk describes an optimized crystal structure of AsCl. The functional is GGA-PBE.

The calculation puts the formation energy without anion corrections at -365.9 meV per atom.

The space group is R-3m (No. 166, hexagonal axes) and the conventional cell measures 4.6337, 4.6337 and 22.7643 Å, with angles of 90.00, 90.00 and 120.00 degrees. The asymmetric unit holds As at (0.0000, 0.0000, 0.1678) and Cl at (0.0000, 0.0000, 0.2653).

2.
This record from Alexandria via LeMat-Bulk describes an optimized crystal structure of Li2ZrPPt. The functional is GGA-PBE.

Its density of states at the Fermi level is 4.05 states/eV/cell. The value obtained for the energy of formation from the pure elements is -0.083 eV per atom.

The space group is P4/mmm (No. 123) and the conventional cell measures 4.346, 4.346 and 4.587 Å, with angles of 90.00, 90.00 and 90.00 degrees. The asymmetric unit holds Li at (0.000, 0.500, 0.000), Zr at (0.000, 0.000, 0.500), P at (0.500, 0.500, 0.000) and Pt at (0.500, 0.500, 0.500).

3.
This record from Alexandria via LeMat-Bulk describes an optimized crystal structure of MnCdTc2. The functional is GGA-PBE.

Its density of states at the Fermi level is 8.14 states/eV/cell. The value obtained for the energy of formation from the pure elements is 0.230 eV per atom.

The space group is R3m (No. 160, hexagonal axes) and the conventional cell measures 2.8211, 2.8211 and 27.6609 Å, with angles of 90.00, 90.00 and 120.00 degrees. The asymmetric unit holds Mn at (0.0000, 0.0000, 0.0000), Cd at (0.0000, 0.0000, 0.7550), Tc at (0.0000, 0.0000, 0.2542) and Tc at (0.0000, 0.0000, 0.5134).

4.
This record from Alexandria via LeMat-Bulk describes an optimized crystal structure of TbMg3S4. The functional is GGA-PBE.

Its density of states at the Fermi level is 4.09 states/eV/cell. The calculation puts the formation energy without anion corrections at -1472.2 meV per atom.

The space group is Cmmm (No. 65) and the conventional cell measures 7.657, 10.727 and 3.717 Å, with angles of 90.00, 90.00 and 90.00 degrees. The asymmetric unit holds Tb at (0.000, 0.000, 0.000), Mg at (0.000, 0.500, 0.000), Mg at (0.250, 0.250, 0.500), S at (0.000, 0.256, 0.000) and S at (0.234, 0.500, 0.500).

5.
This record from Alexandria via LeMat-Bulk describes an optimized crystal structure of Gd2GaTe. The functional is GGA-PBE.

As for the energy relative to the lowest polymorph listed for this composition: 0.0 kJ per mole of atoms. Its density of states at the Fermi level is 8.11 states/eV/cell. The calculation puts the formation energy without anion corrections at -949.2 meV per atom.

The space group is R-3m (No. 166, hexagonal axes) and the conventional cell measures 4.1726, 4.1726 and 22.6231 Å, with angles of 90.00, 90.00 and 120.00 degrees. The asymmetric unit holds Gd at (0.0000, 0.0000, 0.2451), Ga at (0.0000, 0.0000, 0.5000) and Te at (0.0000, 0.0000, 0.0000).

6.
This record from Alexandria via LeMat-Bulk describes an optimized crystal structure of Sm4Ru2Pt. The functional is GGA-PBE.

Its density of states at the Fermi level is 16.70 states/eV/cell. The value obtained for the energy of formation from the pure elements is -0.462 eV per atom.

The space group is Cc (No. 9) and the conventional cell measures 8.895, 13.041 and 6.860 Å, with angles of 90.00, 122.81 and 90.00 degrees. The asymmetric unit holds Sm at (0.000, 0.032, 0.000), Sm at (0.104, 0.425, 0.474), Sm at (0.199, 0.191, 0.764), Sm at (0.372, 0.192, 0.387), Ru at (0.317, 0.005, 0.029), Ru at (0.492, 0.320, 0.792) and Pt at (0.274, 0.374, 0.034).

7.
This record from Alexandria via LeMat-Bulk describes an optimized crystal structure of Tc2GeO. The functional is GGA-PBE.

As for the energy relative to the lowest polymorph listed for this composition: 8.7 kJ per mole of atoms. Its density of states at the Fermi level is 16.20 states/eV/cell. The calculation puts the formation energy without anion corrections at 254.6 meV per atom.

The space group is Fm-3m (No. 225) and the conventional cell measures 5.902, 5.902 and 5.902 Å, with angles of 90.00, 90.00 and 90.00 degrees. The asymmetric unit holds Tc at (0.250, 0.250, 0.250), Ge at (0.000, 0.000, 0.000) and O at (0.000, 0.000, 0.500).

Number 1: total DFT energy (no corrections) -3.61 eV per atom. Number 2: total DFT energy (no corrections) -4.85 eV per atom. Number 3: total DFT energy (no corrections) -7.47 eV per atom. Number 4: total DFT energy (no corrections) -4.71 eV per atom. Number 5: total DFT energy (no corrections) -9.53 eV per atom. Number 6: total DFT energy (no corrections) -6.67 eV per atom. Number 7: total DFT energy (no corrections) -7.32 eV per atom.